# SbTe4Pt, optimized geometry, DFT PBE-GGA
data_SbTe4Pt
_chemical_formula_sum 'Sb1 Te4 Pt1'
_symmetry_space_group_name_H-M 'P 1 2/m 1'
_symmetry_Int_Tables_number 10
_cell_length_a 5.6464
_cell_length_b 4.1643
_cell_length_c 7.3835
_cell_angle_alpha 90.00
_cell_angle_beta 90.79
_cell_angle_gamma 90.00
loop_
_symmetry_equiv_pos_as_xyz
'x,y,z'
'-x,-y,-z'
'-x,y,-z'
'x,-y,z'
loop_
_atom_site_label
_atom_site_fract_x
_atom_site_fract_y
_atom_site_fract_z
Sb1 0.0000 0.0000 0.0000
Te1 0.2621 0.0000 0.3641
Te2 0.2927 0.5000 0.8037
Pt1 0.0000 0.5000 0.5000
# * excess energy over the best structure of this formula in the dataset: 0.000 eV per atom
# * total magnetic moment: 0.0 μB/cell
# * DOS(E_F): 0.3946 states/eV per atom
# * raw formation energy: -199 meV/atom

# Si2TcAg, optimized geometry, DFT PBE-GGA
data_Si2TcAg
_chemical_formula_sum 'Si2 Tc1 Ag1'
_symmetry_space_group_name_H-M 'P 1 2/m 1'
_symmetry_Int_Tables_number 10
_cell_length_a 3.0939
_cell_length_b 2.9177
_cell_length_c 7.1368
_cell_angle_alpha 90.00
_cell_angle_beta 90.98
_cell_angle_gamma 90.00
loop_
_symmetry_equiv_pos_as_xyz
'x,y,z'
'-x,-y,-z'
'-x,y,-z'
'x,-y,z'
loop_
_atom_site_label
_atom_site_fract_x
_atom_site_fract_y
_atom_site_fract_z
Si1 0.0078 0.0000 0.1918
Tc1 0.5000 0.5000 0.0000
Ag1 0.0000 0.5000 0.5000
# * excess energy over the best structure of this formula in the dataset: 0.000 eV per atom
# * total magnetic moment: 0.0 μB/cell
# * DOS(E_F): 0.4177 states/eV per atom
# * raw formation energy: -58 meV/atom

# AlRe2Mo, optimized geometry, DFT PBE-GGA
data_AlRe2Mo
_chemical_formula_sum 'Al4 Re8 Mo4'
_symmetry_space_group_name_H-M 'I -4 2 d'
_symmetry_Int_Tables_number 122
_symmetry_space_group_name_Hall 'I -4 2bw'
_cell_length_a 7.1403
_cell_length_b 7.1403
_cell_length_c 5.2670
_cell_angle_alpha 90.00
_cell_angle_beta 90.00
_cell_angle_gamma 90.00
loop_
_atom_site_label
_atom_site_fract_x
_atom_site_fract_y
_atom_site_fract_z
Al1 0.0000 0.0000 0.0000
Re1 0.2307 0.2500 0.6250
Mo1 0.0000 0.0000 0.5000
# * VASP energy: -145.1 eV/cell
# * total magnetic moment: 0.0 μB/cell
# * DOS(E_F): 1.1646 states/eV per atom